AcNdH6Pt2 | PBE | optimized geometry

Lattice parameters (Å, degrees): 6.5142 6.5142 7.4197 111.80 111.80 91.50
Sites, in units of the cell vectors:
Ac 0.1260 0.8740 0.7500
Ac 0.8740 0.1260 0.2500
Nd 0.3683 0.6317 0.2500
Nd 0.6317 0.3683 0.7500
H 0.0204 0.5696 0.8890
H 0.1773 0.2242 0.1038
H 0.2242 0.1773 0.6038
H 0.3827 0.5867 0.9035
H 0.4133 0.6173 0.5965
H 0.4304 0.9796 0.6110
H 0.5696 0.0204 0.3890
H 0.5867 0.3827 0.4035
H 0.6173 0.4133 0.0965
H 0.7758 0.8227 0.3962
H 0.8227 0.7758 0.8962
H 0.9796 0.4304 0.1110
Pt 0.1316 0.3822 0.7510
Pt 0.3822 0.1316 0.2510
Pt 0.6178 0.8684 0.7490
Pt 0.8684 0.6178 0.2490

Summary:
Space group: C2/c (15)
DFT total energy (eV/atom): -4.663
N(E_F) (states/eV per cell): 2.0
Volume (Å³ per cell): 266.4

***

AcNdH8Rh2 | PBE | optimized geometry

Lattice parameters (Å, degrees): 7.0027 7.0027 7.0027 41.45 41.45 41.45
Sites, in units of the cell vectors:
Ac 0.0000 0.0000 0.0000
Nd 0.5000 0.5000 0.5000
H 0.0160 0.6076 0.0356
H 0.0356 0.0160 0.6076
H 0.3165 0.3165 0.3165
H 0.3924 0.9644 0.9840
H 0.6076 0.0356 0.0160
H 0.6835 0.6835 0.6835
H 0.9644 0.9840 0.3924
H 0.9840 0.3924 0.9644
Rh 0.2319 0.2319 0.2319
Rh 0.7681 0.7681 0.7681

Summary:
Space group: R-3 (148)
DFT total energy (eV/atom): -4.506
N(E_F) (states/eV per cell): 2.7
Volume (Å³ per cell): 136.0

***

AcNdH6Rh2 | PBE | optimized geometry

Lattice parameters (Å, degrees): 6.3093 6.3093 6.7751 103.34 103.34 101.96
Sites, in units of the cell vectors:
Ac 0.1491 0.8509 0.7500
Ac 0.8509 0.1491 0.2500
Nd 0.4053 0.5947 0.2500
Nd 0.5947 0.4053 0.7500
H 0.0776 0.5750 0.3824
H 0.1575 0.2223 0.0152
H 0.2223 0.1575 0.5152
H 0.3073 0.5351 0.8772
H 0.4250 0.9224 0.1176
H 0.4649 0.6927 0.6228
H 0.5351 0.3073 0.3772
H 0.5750 0.0776 0.8824
H 0.6927 0.4649 0.1228
H 0.7777 0.8425 0.4848
H 0.8425 0.7777 0.9848
H 0.9224 0.4250 0.6176
Rh 0.0566 0.3277 0.8149
Rh 0.3277 0.0566 0.3149
Rh 0.6723 0.9434 0.6851
Rh 0.9434 0.6723 0.1851

Summary:
Space group: C2/c (15)
DFT total energy (eV/atom): -4.914
N(E_F) (states/eV per cell): 0.6
Volume (Å³ per cell): 245.5

***

Ac2Nd4Tl3H2 | PBE | optimized geometry

Lattice parameters (Å, degrees): 13.4886 13.4886 13.4886 158.64 158.64 30.38
Sites, in units of the cell vectors:
Ac 0.1986 0.1986 0.0000
Ac 0.8014 0.8014 0.0000
Nd 0.0810 0.5810 0.5000
Nd 0.4190 0.9190 0.5000
Nd 0.5810 0.0810 0.5000
Nd 0.9190 0.4190 0.5000
Tl 0.3325 0.3325 0.0000
Tl 0.5000 0.5000 0.0000
Tl 0.6675 0.6675 0.0000
H 0.0973 0.0973 0.0000
H 0.9027 0.9027 0.0000

Summary:
Space group: I4/mmm (139)
DFT total energy (eV/atom): -4.052
N(E_F) (states/eV per cell): 10.9
Volume (Å³ per cell): 325.2

***

AcNi2H7 | PBE | optimized geometry

Lattice parameters (Å, degrees): 5.0071 5.0071 3.9225 90.00 90.00 122.76
Sites, in units of the cell vectors:
Ac 0.0000 0.0000 0.0000
Ni 0.3124 0.6876 0.5000
Ni 0.6876 0.3124 0.5000
H 0.0273 0.3260 0.5000
H 0.3260 0.0273 0.5000
H 0.3259 0.6741 0.0000
H 0.5000 0.5000 0.5000
H 0.6741 0.3259 0.0000
H 0.6740 0.9727 0.5000
H 0.9727 0.6740 0.5000

Summary:
Space group: Cmmm (65)
DFT total energy (eV/atom): -4.132
N(E_F) (states/eV per cell): 0.9
Volume (Å³ per cell): 82.7

***

AcNi5H11 | PBE | optimized geometry

Lattice parameters (Å, degrees): 5.0994 5.0994 6.4296 107.69 107.69 102.90
Sites, in units of the cell vectors:
Ac 0.0000 0.0000 0.0000
Ni 0.0590 0.3768 0.6375
Ni 0.3768 0.0590 0.6375
Ni 0.5000 0.5000 0.0000
Ni 0.6232 0.9410 0.3625
Ni 0.9410 0.6232 0.3625
H 0.0000 0.0000 0.5000
H 0.1513 0.4761 0.9201
H 0.1673 0.7136 0.6384
H 0.2864 0.8327 0.3616
H 0.4233 0.4233 0.7102
H 0.4761 0.1513 0.9201
H 0.5239 0.8487 0.0799
H 0.5767 0.5767 0.2898
H 0.7136 0.1673 0.6384
H 0.8327 0.2864 0.3616
H 0.8487 0.5239 0.0799

Summary:
Space group: C2/m (12)
DFT total energy (eV/atom): -4.265
N(E_F) (states/eV per cell): 4.4
Volume (Å³ per cell): 142.3

***

AcNi7H12 | PBE | optimized geometry

Lattice parameters (Å, degrees): 5.5545 5.5545 5.5545 95.27 95.27 95.27
Sites, in units of the cell vectors:
Ac 0.0000 0.0000 0.0000
Ni 0.1563 0.1789 0.4959
Ni 0.1789 0.4959 0.1563
Ni 0.4959 0.1563 0.1789
Ni 0.5000 0.5000 0.5000
Ni 0.5041 0.8437 0.8211
Ni 0.8211 0.5041 0.8437
Ni 0.8437 0.8211 0.5041
H 0.1030 0.4481 0.8605
H 0.1395 0.8970 0.5519
H 0.1964 0.4875 0.4591
H 0.4481 0.8605 0.1030
H 0.4591 0.1964 0.4875
H 0.4875 0.4591 0.1964
H 0.5125 0.5409 0.8036
H 0.5409 0.8036 0.5125
H 0.5519 0.1395 0.8970
H 0.8036 0.5125 0.5409
H 0.8605 0.1030 0.4481
H 0.8970 0.5519 0.1395

Summary:
Space group: R-3 (148)
DFT total energy (eV/atom): -4.260
N(E_F) (states/eV per cell): 2.7
Volume (Å³ per cell): 169.0

***

Ac2Ni16H | PBE | optimized geometry

Lattice parameters (Å, degrees): 6.3603 6.3603 6.3603 84.43 84.43 84.43
Sites, in units of the cell vectors:
Ac 0.0000 0.0000 0.0000
Ac 0.3318 0.3318 0.3318
Ni 0.1444 0.6615 0.6615
Ni 0.3129 0.3129 0.8118
Ni 0.3129 0.8118 0.3129
Ni 0.3688 0.6541 0.9397
Ni 0.3688 0.9397 0.6541
Ni 0.5065 0.9989 0.9989
Ni 0.6541 0.3688 0.9397
Ni 0.6541 0.9397 0.3688
Ni 0.6615 0.1444 0.6615
Ni 0.6615 0.6615 0.1444
Ni 0.7309 0.7309 0.7309
Ni 0.8118 0.3129 0.3129
Ni 0.9397 0.3688 0.6541
Ni 0.9397 0.6541 0.3688
Ni 0.9989 0.5065 0.9989
Ni 0.9989 0.9989 0.5065
H 0.6063 0.6063 0.6063

Summary:
Space group: R3m (160)
DFT total energy (eV/atom): -5.524
N(E_F) (states/eV per cell): 23.8
Volume (Å³ per cell): 253.9

***

Ac3Ni5H12 | PBE | optimized geometry

Lattice parameters (Å, degrees): 10.3325 10.3325 10.3325 109.47 109.47 109.47
Sites, in units of the cell vectors:
Ac 0.1250 0.2500 0.3750
Ac 0.1250 0.3750 0.7500
Ac 0.2500 0.3750 0.1250
Ac 0.2500 0.8750 0.6250
Ac 0.3750 0.1250 0.2500
Ac 0.3750 0.7500 0.1250
Ac 0.6250 0.2500 0.8750
Ac 0.6250 0.8750 0.7500
Ac 0.7500 0.1250 0.3750
Ac 0.7500 0.6250 0.8750
Ac 0.8750 0.6250 0.2500
Ac 0.8750 0.7500 0.6250
Ni 0.0000 0.0000 0.0000
Ni 0.0000 0.0000 0.5000
Ni 0.0000 0.5000 0.0000
Ni 0.0000 0.5000 0.5000
Ni 0.1250 0.7500 0.8750
Ni 0.1250 0.8750 0.2500
Ni 0.2500 0.1250 0.8750
Ni 0.2500 0.6250 0.3750
Ni 0.3750 0.2500 0.6250
Ni 0.3750 0.6250 0.7500
Ni 0.5000 0.0000 0.0000
Ni 0.5000 0.0000 0.5000
Ni 0.5000 0.5000 0.0000
Ni 0.5000 0.5000 0.5000
Ni 0.6250 0.3750 0.2500
Ni 0.6250 0.7500 0.3750
Ni 0.7500 0.3750 0.6250
Ni 0.7500 0.8750 0.1250
Ni 0.8750 0.1250 0.7500
Ni 0.8750 0.2500 0.1250
H 0.0147 0.6832 0.0993
H 0.0147 0.8316 0.9154
H 0.0838 0.6684 0.6832
H 0.0838 0.9154 0.4007
H 0.0846 0.5993 0.9162
H 0.0846 0.9853 0.1684
H 0.0993 0.0147 0.6832
H 0.0993 0.5846 0.4162
H 0.1684 0.0846 0.9853
H 0.1684 0.5838 0.1832
H 0.1832 0.1684 0.5838
H 0.1832 0.5147 0.5993
H 0.3168 0.9007 0.9853
H 0.3168 0.9162 0.3316
H 0.3316 0.3168 0.9162
H 0.3316 0.5147 0.4154
H 0.4007 0.0838 0.9154
H 0.4007 0.8168 0.4853
H 0.4154 0.3316 0.5147
H 0.4154 0.5838 0.9007
H 0.4162 0.0993 0.5846
H 0.4162 0.8168 0.8316
H 0.4853 0.4007 0.8168
H 0.4853 0.5846 0.6684
H 0.5147 0.4154 0.3316
H 0.5147 0.5993 0.1832
H 0.5838 0.1832 0.1684
H 0.5838 0.9007 0.4154
H 0.5846 0.4162 0.0993
H 0.5846 0.6684 0.4853
H 0.5993 0.1832 0.5147
H 0.5993 0.9162 0.0846
H 0.6684 0.4853 0.5846
H 0.6684 0.6832 0.0838
H 0.6832 0.0838 0.6684
H 0.6832 0.0993 0.0147
H 0.8168 0.4853 0.4007
H 0.8168 0.8316 0.4162
H 0.8316 0.4162 0.8168
H 0.8316 0.9154 0.0147
H 0.9007 0.4154 0.5838
H 0.9007 0.9853 0.3168
H 0.9154 0.0147 0.8316
H 0.9154 0.4007 0.0838
H 0.9162 0.0846 0.5993
H 0.9162 0.3316 0.3168
H 0.9853 0.1684 0.0846
H 0.9853 0.3168 0.9007

Summary:
Space group: Ia-3d (230)
DFT total energy (eV/atom): -4.247
N(E_F) (states/eV per cell): 33.3
Volume (Å³ per cell): 849.2

***

AcNi3H6 | PBE | optimized geometry

Lattice parameters (Å, degrees): 5.8642 5.8642 5.8642 45.60 45.60 45.60
Sites, in units of the cell vectors:
Ac 0.0000 0.0000 0.0000
Ni 0.2038 0.2038 0.2038
Ni 0.5267 0.5267 0.5267
Ni 0.8072 0.8072 0.8072
H 0.1589 0.4473 0.8005
H 0.4219 0.9221 0.4440
H 0.4440 0.4219 0.9221
H 0.4473 0.8005 0.1589
H 0.8005 0.1589 0.4473
H 0.9221 0.4440 0.4219

Summary:
Space group: R3 (146)
DFT total energy (eV/atom): -4.418
N(E_F) (states/eV per cell): 2.0
Volume (Å³ per cell): 93.8

***

AcNi2H | PBE | optimized geometry

Lattice parameters (Å, degrees): 5.5361 5.5361 5.5361 40.63 40.63 40.63
Sites, in units of the cell vectors:
Ac 0.0000 0.0000 0.0000
Ni 0.1960 0.1960 0.1960
Ni 0.8040 0.8040 0.8040
H 0.5000 0.5000 0.5000

Summary:
Space group: R-3m (166)
DFT total energy (eV/atom): -4.605
N(E_F) (states/eV per cell): 2.6
Volume (Å³ per cell): 64.9

***

AcNi4H7 | PBE | optimized geometry

Lattice parameters (Å, degrees): 3.7816 11.8670 4.6603 90.00 90.00 90.00
Sites, in units of the cell vectors:
Ac 0.2500 0.2500 0.1954
Ac 0.7500 0.7500 0.8046
Ni 0.2500 0.5086 0.8160
Ni 0.2500 0.6260 0.3050
Ni 0.2500 0.8740 0.3050
Ni 0.2500 0.9914 0.8160
Ni 0.7500 0.0086 0.1840
Ni 0.7500 0.1260 0.6950
Ni 0.7500 0.3740 0.6950
Ni 0.7500 0.4914 0.1840
H 0.2500 0.0066 0.1752
H 0.2500 0.1240 0.7018
H 0.2500 0.3760 0.7018
H 0.2500 0.4934 0.1752
H 0.2500 0.6291 0.6513
H 0.2500 0.7500 0.1732
H 0.2500 0.8709 0.6513
H 0.7500 0.1291 0.3487
H 0.7500 0.2500 0.8268
H 0.7500 0.3709 0.3487
H 0.7500 0.5066 0.8248
H 0.7500 0.6240 0.2982
H 0.7500 0.8760 0.2982
H 0.7500 0.9934 0.8248

Summary:
Space group: Pmmn (59)
DFT total energy (eV/atom): -4.459
N(E_F) (states/eV per cell): 11.3
Volume (Å³ per cell): 209.1